{
  "formula": "CsRbTaCl6",
  "functional": "PBE",
  "state": "relaxed",
  "lattice": [[8.102, 0.000, 0.000], [-4.051, 7.016, 0.000], [0.000, 0.000, 11.624]],
  "species": ["Cs", "Cs", "Rb", "Rb", "Ta", "Ta", "Cl", "Cl", "Cl", "Cl", "Cl", "Cl", "Cl", "Cl", "Cl", "Cl", "Cl", "Cl"],
  "frac_coords": [[0.333, 0.667, 0.250], [0.667, 0.333, 0.750], [0.000, 0.000, 0.000], [0.000, 0.000, 0.500], [0.667, 0.333, 0.250], [0.333, 0.667, 0.750], [0.678, 0.583, 0.129], [0.905, 0.322, 0.129], [0.322, 0.905, 0.629], [0.095, 0.678, 0.871], [0.417, 0.322, 0.371], [0.905, 0.583, 0.371], [0.583, 0.905, 0.871], [0.678, 0.095, 0.371], [0.095, 0.417, 0.629], [0.417, 0.095, 0.129], [0.583, 0.678, 0.629], [0.322, 0.417, 0.871]],
  "volume_a3_per_fu": 330.4,
  "raw_formation_energy_mev_per_atom": -1598.1,
  "sg": "No. 163"
}